1.
5
Lattice="4.443 0.000 0.000 0.000 4.443 0.000 0.000 0.000 4.758" Properties=species:S:1:pos:R:3 comment="NiP2PdC | the Alexandria database | PBE-GGA | relaxed" dos_at_fermi_per_ev_fu=4.12 delta_e_f_ev_per_atom=2.0860 spacegroup=P4/mmm pbc="T T T"
Ni 0.000 0.000 0.000
P 0.000 2.221 2.379
P 2.221 0.000 2.379
Pd 0.000 0.000 2.379
C 2.221 2.221 0.000

2.
5
Lattice="4.606 0.000 0.000 0.000 4.606 0.000 0.000 0.000 4.266" Properties=species:S:1:pos:R:3 comment="Ni2PRhC | the Alexandria database | PBE-GGA | relaxed" dos_at_fermi_per_ev_fu=6.51 delta_e_f_ev_per_atom=2.0512 spacegroup=P4/mmm pbc="T T T"
Ni 0.000 2.303 0.000
Ni 2.303 0.000 0.000
P 0.000 0.000 2.133
Rh 0.000 0.000 0.000
C 2.303 2.303 2.133

3.
5
Lattice="4.085 0.000 0.000 0.000 4.085 0.000 0.000 0.000 3.907" Properties=species:S:1:pos:R:3 comment="NiPCS2 | the Alexandria database | PBE-GGA | relaxed" formation_energy_uncorrected_mev_per_atom=1300 dos_at_fermi_per_ev_fu=4.56 spacegroup=P4/mmm de_polymorph_ev_per_fu=0.00 pbc="T T T"
Ni 0.000 0.000 0.000
P 2.042 2.042 0.000
C 2.042 2.042 1.954
S 0.000 2.042 1.954
S 2.042 0.000 1.954